Entry 1:
PBEsol ZnHPd2, optimized geometry; Fermi-level density of states = 0.350 states/eV per atom; size of the total moment = 0.00 μB/atom; electronic total energy = -4.4654 eV/atom
1.0
4.945 -0.001 0.000
-1.908 4.562 0.000
-1.519 -2.281 4.116
H Pd Zn
2 4 2
Direct
0.750 0.250 0.500 H
0.500 0.500 0.000 H
0.781 0.875 0.406 Pd
0.625 0.219 0.094 Pd
0.125 0.531 0.906 Pd
0.469 0.375 0.594 Pd
0.000 0.000 0.000 Zn
0.250 0.750 0.500 Zn

***

Entry 2:
PBEsol NiOs2AuCl, optimized geometry; Fermi-level density of states = 1.359 states/eV per atom; size of the total moment = 1.29 μB/atom; electronic total energy = -4.7273 eV/atom; energy relative to the elements, uncorrected = 2.577 eV per atom
1.0
4.646 0.000 0.000
0.000 4.906 0.000
0.000 0.000 4.906
Os Au Cl Ni
2 1 1 1
Direct
0.000 0.000 0.500 Os
0.000 0.500 0.000 Os
0.000 0.000 0.000 Au
0.500 0.500 0.500 Cl
0.500 0.000 0.000 Ni

***

Entry 3:
PBEsol CdAg4, optimized geometry; ΔE to the lowest computed polymorph = 18 kJ/mol of formula units; Fermi-level density of states = 0.265 states/eV per atom; size of the total moment = 0.00 μB/atom; electronic total energy = -2.8983 eV/atom; ΔH_f (0 K) = -0.010 eV/atom
1.0
2.912 0.000 0.000
1.456 2.522 0.000
1.456 0.841 11.665
Ag Cd
4 1
Direct
0.098 0.098 0.705 Ag
0.301 0.301 0.098 Ag
0.699 0.699 0.902 Ag
0.902 0.902 0.295 Ag
0.500 0.500 0.500 Cd

***

Entry 4:
PBEsol Pb2C, optimized geometry; ΔE to the lowest computed polymorph = 28 kJ/mol of formula units; Fermi-level density of states = 0.573 states/eV per atom; size of the total moment = 0.00 μB/atom; electronic total energy = -4.3816 eV/atom; ΔH_f (0 K) = 1.499 eV/atom
1.0
-3.207 -0.244 -1.043
-0.944 -2.556 3.502
-1.041 3.613 2.357
Pb C
2 1
Direct
0.500 0.500 0.000 Pb
0.500 0.000 0.500 Pb
0.000 0.000 0.000 C